CaReTc2 | PBE | optimized geometry

It has space group Fm-3m (No. 225), with a = 6.381 Å, b = 6.381 Å, c = 6.381 Å, α = 90.00°, β = 90.00° and γ = 90.00°. The asymmetric unit holds Ca at (0.000, 0.000, 0.000), Re at (0.000, 0.000, 0.500) and Tc at (0.250, 0.250, 0.250).

The calculation puts the formation energy at 446 meV/atom. The density of states at the Fermi level is 0.84 states/eV per atom. For the total magnetic moment, the calculation gives 0.0 μB/f.u. Its total DFT energy (no corrections) is -8.350 eV/atom.